Record 1
The following is a DFT calculation (GGA-PBE) of a relaxed structure of ZrNbTc.

Energy above the lowest structure with this stoichiometry: 208 meV per atom
Theoretical density: 7.9 g cm⁻³
Space-group type: R-3m, No. 166
Energy of formation: -65 meV per atom
Density of states at the Fermi level: 0.619 states/eV/atom

Geometry as POSCAR:
```
ZrNbTc
1.0
4.402 0.007 0.310
-2.189 3.812 -0.414
-0.501 -2.068 7.173
Tc Nb Zr
2 2 2
direct
0.434 0.368 0.802
0.566 0.632 0.198
0.136 0.771 0.907
0.864 0.229 0.093
0.712 0.923 0.635
0.288 0.077 0.365
```

Record 2
The following is a DFT calculation (GGA-PBE) of a relaxed structure of ZrNb2Tc4.

Theoretical density: 8.8 g cm⁻³
Space-group type: I4/mmm, No. 139
Energy of formation: 275 meV per atom
Density of states at the Fermi level: 1.547 states/eV/atom

Geometry as POSCAR:
```
ZrNb2Tc4
1.0
5.169 0.052 -1.787
-2.561 4.445 -1.895
0.030 -0.052 5.469
Zr Nb Tc
1 2 4
direct
0.000 0.000 0.000
0.500 0.500 0.000
0.500 0.000 0.500
0.500 0.000 0.000
0.500 0.500 0.500
0.000 0.000 0.500
0.000 0.500 0.000
```

Record 3
The following is a DFT calculation (GGA-PBE) of a relaxed structure of ZrNbTc3.

Energy above the lowest structure with this stoichiometry: 0 meV per atom
Theoretical density: 7.7 g cm⁻³
Space-group type: Pm-3m, No. 221
Energy of formation: 1203 meV per atom
Density of states at the Fermi level: 1.385 states/eV/atom

Geometry as POSCAR:
```
ZrNbTc3
1.0
-3.603 2.971 -0.391
-1.998 -1.927 3.776
2.233 3.070 2.748
Nb Tc Zr
1 3 1
direct
0.000 0.000 0.000
0.000 0.500 0.000
0.000 0.000 0.500
0.500 0.000 0.000
0.500 0.500 0.500
```

Record 4
The following is a DFT calculation (GGA-PBE) of a relaxed structure of Zr4NbTc5.

Theoretical density: 9.0 g cm⁻³
Space-group type: P4/mmm, No. 123
Energy of formation: -359 meV per atom
Density of states at the Fermi level: 0.897 states/eV/atom

Geometry as POSCAR:
```
Zr4NbTc5
1.0
3.268 0.000 0.000
0.000 3.268 0.000
0.000 0.000 16.414
Zr Nb Tc
4 1 5
direct
0.000 0.000 0.198
0.000 0.000 0.399
0.000 0.000 0.601
0.000 0.000 0.802
0.000 0.000 0.000
0.500 0.500 0.094
0.500 0.500 0.298
0.500 0.500 0.500
0.500 0.500 0.702
0.500 0.500 0.906
```

Record 5
The following is a DFT calculation (GGA-PBE) of a relaxed structure of Zr2NbTc2.

Energy above the lowest structure with this stoichiometry: 110 meV per atom
Theoretical density: 8.0 g cm⁻³
Space-group type: P4/mbm, No. 127
Energy of formation: -41 meV per atom
Density of states at the Fermi level: 1.108 states/eV/atom

Geometry as POSCAR:
```
Zr2NbTc2
1.0
6.559 0.000 0.000
0.000 6.559 0.000
0.000 0.000 4.536
Nb Tc Zr
2 4 4
direct
0.000 0.000 0.000
0.500 0.500 0.000
0.367 0.867 0.000
0.867 0.633 0.000
0.633 0.133 0.000
0.133 0.367 0.000
0.179 0.679 0.500
0.679 0.821 0.500
0.821 0.321 0.500
0.321 0.179 0.500
```

Record 6
The following is a DFT calculation (GGA-PBE) of a relaxed structure of ZrNb3Tc.

Energy above the lowest structure with this stoichiometry: 0 meV per atom
Theoretical density: 6.9 g cm⁻³
Space-group type: Pm-3m, No. 221
Energy of formation: 846 meV per atom
Density of states at the Fermi level: 1.295 states/eV/atom

Geometry as POSCAR:
```
ZrNb3Tc
1.0
4.820 0.000 0.000
0.000 4.820 0.000
0.000 0.000 4.820
Nb Tc Zr
3 1 1
direct
0.000 0.500 0.000
0.000 0.000 0.500
0.500 0.000 0.000
0.000 0.000 0.000
0.500 0.500 0.500
```

Record 7
The following is a DFT calculation (GGA-PBE) of a relaxed structure of ZrNb2Tc2.

Energy above the lowest structure with this stoichiometry: 83 meV per atom
Theoretical density: 8.7 g cm⁻³
Space-group type: P4/mbm, No. 127
Energy of formation: 56 meV per atom
Density of states at the Fermi level: 1.921 states/eV/atom

Geometry as POSCAR:
```
ZrNb2Tc2
1.0
7.568 0.000 0.000
0.000 7.568 0.000
0.000 0.000 3.161
Nb Tc Zr
4 4 2
direct
0.153 0.653 0.500
0.653 0.847 0.500
0.847 0.347 0.500
0.347 0.153 0.500
0.356 0.856 0.000
0.856 0.644 0.000
0.644 0.144 0.000
0.144 0.356 0.000
0.000 0.000 0.000
0.500 0.500 0.000
```

Record 8
The following is a DFT calculation (GGA-PBE) of a relaxed structure of Zr3NbTc4.

Theoretical density: 9.0 g cm⁻³
Space-group type: P4/mmm, No. 123
Energy of formation: -357 meV per atom
Density of states at the Fermi level: 0.992 states/eV/atom

Geometry as POSCAR:
```
Zr3NbTc4
1.0
-0.493 2.106 2.440
0.574 -2.371 2.163
12.766 3.046 -0.050
Nb Tc Zr
1 4 3
direct
0.500 0.500 0.000
0.000 0.000 0.882
0.000 0.000 0.118
0.000 0.000 0.373
0.000 0.000 0.627
0.500 0.500 0.248
0.500 0.500 0.500
0.500 0.500 0.752
```

Record 9
The following is a DFT calculation (GGA-PBE) of a relaxed structure of ZrNbTc.

Energy above the lowest structure with this stoichiometry: 26 meV per atom
Theoretical density: 8.6 g cm⁻³
Space-group type: Amm2, No. 38
Energy of formation: -247 meV per atom
Density of states at the Fermi level: 0.852 states/eV/atom

Geometry as POSCAR:
```
ZrNbTc
1.0
4.728 0.000 0.000
0.000 3.283 0.000
0.000 0.000 14.028
Nb Tc Zr
4 4 4
direct
0.500 0.000 0.456
0.500 0.500 0.956
0.000 0.000 0.615
0.000 0.500 0.115
0.500 0.000 0.804
0.500 0.500 0.304
0.000 0.000 0.965
0.000 0.500 0.465
0.500 0.000 0.137
0.500 0.500 0.637
0.000 0.000 0.301
0.000 0.500 0.801
```

Record 10
The following is a DFT calculation (GGA-PBE) of a relaxed structure of ZrNbTc.

Energy above the lowest structure with this stoichiometry: 0 meV per atom
Theoretical density: 8.6 g cm⁻³
Space-group type: I4mm, No. 107
Energy of formation: -273 meV per atom
Density of states at the Fermi level: 0.839 states/eV/atom

Geometry as POSCAR:
```
ZrNbTc
1.0
-0.487 1.798 2.671
-3.141 -0.858 0.005
2.927 -4.530 1.598
Nb Tc Zr
1 1 1
direct
0.773 0.773 0.547
0.416 0.416 0.833
0.085 0.085 0.170
```

Record 11
The following is a DFT calculation (GGA-PBE) of a relaxed structure of ZrNbTc.

Energy above the lowest structure with this stoichiometry: 468 meV per atom
Theoretical density: 7.4 g cm⁻³
Space-group type: I-4m2, No. 119
Energy of formation: 195 meV per atom
Density of states at the Fermi level: 1.339 states/eV/atom

Geometry as POSCAR:
```
ZrNbTc
1.0
4.462 -0.029 -0.041
-2.205 3.885 0.035
-2.207 -1.301 3.661
Zr Nb Tc
1 1 1
direct
0.944 0.972 0.917
0.944 0.472 0.417
0.444 0.222 0.667
```

Copy entry 5 word for word.
The following is a DFT calculation (GGA-PBE) of a relaxed structure of Zr2NbTc2.

Energy above the lowest structure with this stoichiometry: 110 meV per atom
Theoretical density: 8.0 g cm⁻³
Space-group type: P4/mbm, No. 127
Energy of formation: -41 meV per atom
Density of states at the Fermi level: 1.108 states/eV/atom

Geometry as POSCAR:
```
Zr2NbTc2
1.0
6.559 0.000 0.000
0.000 6.559 0.000
0.000 0.000 4.536
Nb Tc Zr
2 4 4
direct
0.000 0.000 0.000
0.500 0.500 0.000
0.367 0.867 0.000
0.867 0.633 0.000
0.633 0.133 0.000
0.133 0.367 0.000
0.179 0.679 0.500
0.679 0.821 0.500
0.821 0.321 0.500
0.321 0.179 0.500
```

Look up the density of states at the Fermi level of the third one.
1.385 states/eV/atom